1.
YSi2Ir: relaxed, PBE-GGA.

Unit cell a=4.5696 b=4.5696 c=8.6884 alpha=74.75 beta=74.75 gamma=90.00
Closest atoms and distances in Å follow each position.
Positions (direct):
1 Y 0.5000 0.5000 0.0000  4 Si 3.03, 4 Ir 3.23
2 Y 0.2500 0.7500 0.5000  4 Si 3.03, 4 Ir 3.23
3 Si 0.9483 0.6250 0.2500  2 Ir 2.34, 2 Si 2.38
4 Si 0.8750 0.0517 0.7500  2 Ir 2.34, 2 Si 2.38
5 Si 0.3750 0.1983 0.7500  2 Ir 2.34, 2 Si 2.38
6 Si 0.8017 0.1250 0.2500  2 Ir 2.34, 2 Si 2.38
7 Ir 0.0000 0.0000 0.0000  4 Si 2.34
8 Ir 0.7500 0.2500 0.5000  4 Si 2.34

Results
- raw formation energy (eV per atom) = -0.4721
- VASP energy (eV/atom) = -7.015
- DOS(E_F) (states/eV/atom) = 0.601

2.
YHoRuRh: relaxed, PBE-GGA.

Unit cell a=4.8223 b=4.8223 c=4.8223 alpha=60.00 beta=60.00 gamma=60.00
Closest atoms and distances in Å follow each position.
Positions (direct):
1 Y 0.7500 0.7500 0.7500  4 Ru 2.95, 4 Rh 2.95
2 Ho 0.2500 0.2500 0.2500  4 Rh 2.95, 4 Ru 2.95
3 Ru 0.5000 0.5000 0.5000  4 Ho 2.95, 4 Y 2.95
4 Rh 0.0000 0.0000 0.0000  4 Ho 2.95, 4 Y 2.95

Results
- formation energy from the elements (meV per atom) = -622
- VASP energy (eV/atom) = -7.539
- DOS(E_F) (states/eV/atom) = 0.448

3.
HfHgTeI2: relaxed, PBE-GGA.

Unit cell a=5.8173 b=5.8173 c=5.5217 alpha=90.00 beta=90.00 gamma=90.00
Closest atoms and distances in Å follow each position.
Positions (direct):
1 I 0.0000 0.5000 0.0000  2 Hf 2.91
2 I 0.5000 0.0000 0.0000  2 Hf 2.91
3 Te 0.0000 0.0000 0.5000  2 Hf 2.76
4 Hg 0.5000 0.5000 0.5000  8 I 4.01, 4 Te 4.11
5 Hf 0.0000 0.0000 0.0000  2 Te 2.76, 4 I 2.91

Results
- raw formation energy (eV per atom) = -0.3860
- VASP energy (eV/atom) = -3.685
- DOS(E_F) (states/eV/atom) = 0.246

4.
KCa2Pb6: relaxed, PBE-GGA.

Unit cell a=3.6708 b=9.9614 c=9.9614 alpha=57.87 beta=79.38 gamma=79.38
Closest atoms and distances in Å follow each position.
Positions (direct):
1 Pb 0.3203 0.3604 0.9990  6 Pb 3.30-3.67, 3 Ca 3.46-3.63
2 Pb 0.5000 0.6652 0.3348  3 Pb 3.19-3.40, 4 Ca 3.46
3 Pb 0.3203 0.9990 0.3604  6 Pb 3.30-3.67, 3 Ca 3.46-3.63
4 Pb 0.6797 0.0010 0.6396  6 Pb 3.30-3.67, 3 Ca 3.46-3.63
5 Pb 0.5000 0.3348 0.6652  3 Pb 3.19-3.40, 4 Ca 3.46
6 Pb 0.6797 0.6396 0.0010  6 Pb 3.30-3.67, 3 Ca 3.46-3.63
7 K 0.0000 0.0000 0.0000  2 K 3.67, 12 Pb 3.71-3.97
8 Ca 0.1446 0.3554 0.3554  10 Pb 3.46-3.63, 2 Ca 3.67
9 Ca 0.8554 0.6446 0.6446  10 Pb 3.46-3.63, 2 Ca 3.67

Results
- formation energy from the elements (meV per atom) = -252
- VASP energy (eV/atom) = -3.291
- DOS(E_F) (states/eV/atom) = 0.252

5.
Cs2ZrU3O12: relaxed, PBE-GGA.

Unit cell a=7.7882 b=7.7882 c=7.7882 alpha=61.69 beta=61.69 gamma=61.69
Closest atoms and distances in Å follow each position.
Positions (direct):
1 O 0.3163 0.9373 0.9373  1 U 2.02, 1 Zr 2.12
2 O 0.3157 0.3157 0.9352  2 U 2.13
3 O 0.6837 0.0627 0.0627  1 U 2.02, 1 Zr 2.12
4 O 0.0627 0.6837 0.0627  1 U 2.02, 1 Zr 2.12
5 O 0.9352 0.3157 0.3157  2 U 2.13
6 O 0.3157 0.9352 0.3157  2 U 2.13
7 O 0.0627 0.0627 0.6837  1 U 2.02, 1 Zr 2.12
8 O 0.0648 0.6843 0.6843  2 U 2.13
9 O 0.6843 0.6843 0.0648  2 U 2.13
10 O 0.9373 0.3163 0.9373  1 U 2.02, 1 Zr 2.12
11 O 0.6843 0.0648 0.6843  2 U 2.13
12 O 0.9373 0.9373 0.3163  1 U 2.02, 1 Zr 2.12
13 U 0.0000 0.0000 0.5000  6 O 2.02-2.13
14 U 0.0000 0.5000 0.0000  6 O 2.02-2.13
15 U 0.5000 0.0000 0.0000  6 O 2.02-2.13
16 Cs 0.6254 0.6254 0.6254  6 O 3.46-3.48
17 Cs 0.3746 0.3746 0.3746  6 O 3.46-3.48
18 Zr 0.0000 0.0000 0.0000  6 O 2.12

Results
- raw formation energy (eV per atom) = -3.0087
- VASP energy (eV/atom) = -8.765
- DOS(E_F) (states/eV/atom) = 0.000

6.
TlGaTcGe2: relaxed, PBE-GGA.

Unit cell a=4.8552 b=4.8552 c=4.9729 alpha=90.00 beta=90.00 gamma=90.00
Closest atoms and distances in Å follow each position.
Positions (direct):
1 Tc 0.0000 0.0000 0.0000  4 Ge 2.43, 2 Ga 2.49
2 Ge 0.5000 0.0000 0.0000  2 Tc 2.43
3 Ge 0.0000 0.5000 0.0000  2 Tc 2.43
4 Ga 0.0000 0.0000 0.5000  2 Tc 2.49
5 Tl 0.5000 0.5000 0.5000  4 Ga 3.43, 8 Ge 3.48

Results
- formation energy from the elements (meV per atom) = 120
- VASP energy (eV/atom) = -4.879
- DOS(E_F) (states/eV/atom) = 0.646

7.
ScCo6: relaxed, PBE-GGA.

Unit cell a=5.2727 b=5.2727 c=5.2727 alpha=90.00 beta=90.00 gamma=90.00
Closest atoms and distances in Å follow each position.
Positions (direct):
1 Co 0.8046 0.5000 0.5000  5 Co 2.06-2.27
2 Co 0.5000 0.5000 0.1954  5 Co 2.06-2.27
3 Co 0.1954 0.5000 0.5000  5 Co 2.06-2.27
4 Co 0.5000 0.8046 0.5000  5 Co 2.06-2.27
5 Co 0.5000 0.5000 0.8046  5 Co 2.06-2.27
6 Co 0.5000 0.1954 0.5000  5 Co 2.06-2.27
7 Sc 0.0000 0.0000 0.0000  24 Co 3.87

Results
- formation energy from the elements (meV per atom) = 1177
- VASP energy (eV/atom) = -5.818
- DOS(E_F) (states/eV/atom) = 1.334

8.
Pr6IrPt2I3: relaxed, PBE-GGA.

Unit cell a=7.4295 b=7.4295 c=8.5292 alpha=98.35 beta=98.35 gamma=120.01
Closest atoms and distances in Å follow each position.
Positions (direct):
1 Pr 0.6118 0.9379 0.8139  1 Ir 2.86, 2 Pt 2.93
2 Pr 0.3882 0.0621 0.1861  1 Ir 2.86, 2 Pt 2.93
3 Pr 0.7362 0.7362 0.1864  1 Ir 2.86, 2 Pt 2.93
4 Pr 0.9379 0.6118 0.8139  1 Ir 2.86, 2 Pt 2.93
5 Pr 0.2638 0.2638 0.8136  1 Ir 2.86, 2 Pt 2.93
6 Pr 0.0621 0.3882 0.1861  1 Ir 2.86, 2 Pt 2.93
7 I 0.5000 0.5000 0.5000  6 Pr 3.54-3.60
8 I 0.8333 0.1667 0.5000  6 Pr 3.54-3.60
9 I 0.1667 0.8333 0.5000  6 Pr 3.54-3.60
10 Ir 0.0000 0.0000 0.0000  6 Pr 2.86
11 Pt 0.6666 0.3334 0.0000  6 Pr 2.93
12 Pt 0.3334 0.6666 0.0000  6 Pr 2.93

Results
- raw formation energy (eV per atom) = -1.0721
- VASP energy (eV/atom) = -5.595
- DOS(E_F) (states/eV/atom) = 0.647